This record from the Alexandria database describes a geometry-optimized Nd4Ho2Mg structure. The functional is PBE.

a b c (Å): 8.7719 8.7719 8.7719
angles (deg): 37.76 37.76 37.76
Element x y z (fractional)
Nd  0.0679  0.0679  0.0679
Nd  0.2109  0.2109  0.2109
Nd  0.7891  0.7891  0.7891
Nd  0.9321  0.9321  0.9321
Ho  0.3567  0.3567  0.3567
Ho  0.6433  0.6433  0.6433
Mg  0.5000  0.5000  0.5000

Computed properties:
ΔE to the lowest computed polymorph ... 0 meV/atom
Energy of formation from the pure elements ... 0.082 eV/atom
Density of states at the Fermi level ... 1.828 states/eV per atom
V ... 227.1 Å³ per cell